No. 1
Nb3AgN5, optimized geometry, DFT PBE-GGA; SG = P6/mmm, No. 191; total energy = -73.1 eV per cell
1.0
-0.488 -1.354 5.181
4.878 0.750 -2.135
-0.175 4.242 1.092
Nb N Ag
3 5 1
direct
0.500 0.000 0.500
0.500 0.500 0.500
0.000 0.500 0.500
0.333 0.667 0.848
0.333 0.667 0.152
0.000 0.000 0.500
0.667 0.333 0.152
0.667 0.333 0.848
0.000 0.000 0.000


No. 2
NbAgNO, optimized geometry, DFT PBE-GGA; SG = Pmc2_1, No. 26; energy above the lowest structure with this stoichiometry = 41 meV per atom
1.0
-1.737 -3.009 0.000
0.000 0.000 6.083
-4.964 2.866 0.000
Ag O N Nb
2 2 2 2
direct
0.500 0.524 0.786
0.500 0.024 0.214
0.500 0.937 0.815
0.500 0.437 0.185
0.000 0.307 0.627
0.000 0.807 0.373
0.000 0.985 0.650
0.000 0.485 0.350


No. 3
NbAgNO, optimized geometry, DFT PBE-GGA; SG = Pca2_1, No. 29; energy above the lowest structure with this stoichiometry = 0 meV per atom
1.0
-1.572 5.317 2.388
-4.911 0.249 -3.787
-2.901 -2.474 3.599
Nb N Ag O
4 4 4 4
direct
0.375 0.988 0.466
0.125 0.988 0.966
0.625 0.012 0.966
0.875 0.012 0.466
0.885 0.201 0.132
0.385 0.799 0.132
0.115 0.799 0.632
0.615 0.201 0.632
0.630 0.491 0.969
0.870 0.491 0.469
0.370 0.509 0.469
0.130 0.509 0.969
0.868 0.807 0.136
0.632 0.807 0.636
0.132 0.193 0.636
0.368 0.193 0.136


No. 4
NbAgNO, optimized geometry, DFT PBE-GGA; SG = Pca2_1, No. 29; energy above the lowest structure with this stoichiometry = 18 meV per atom
1.0
-2.130 1.349 5.014
4.889 -2.525 2.756
3.288 6.100 -0.244
Ag N Nb O
4 4 4 4
direct
0.000 0.147 0.660
0.500 0.353 0.660
0.500 0.853 0.340
0.000 0.647 0.340
0.630 0.593 0.900
0.130 0.907 0.900
0.130 0.407 0.100
0.630 0.093 0.100
0.988 0.600 0.893
0.988 0.100 0.107
0.488 0.900 0.893
0.488 0.400 0.107
0.084 0.025 0.357
0.584 0.975 0.643
0.584 0.475 0.357
0.084 0.525 0.643


No. 5
NbAgNO, optimized geometry, DFT PBE-GGA; SG = Pmc2_1, No. 26; energy above the lowest structure with this stoichiometry = 33 meV per atom
1.0
-1.719 -2.977 0.000
0.000 0.000 6.158
-4.836 2.792 0.000
Nb N O Ag
2 2 2 2
direct
0.500 0.459 0.877
0.500 0.959 0.123
0.000 0.935 0.291
0.000 0.435 0.709
0.500 0.291 0.168
0.500 0.791 0.832
0.000 0.068 0.669
0.000 0.568 0.331


No. 6
NbAgNO, optimized geometry, DFT PBE-GGA; SG = P4/nmm, No. 129; energy above the lowest structure with this stoichiometry = 383 meV per atom
1.0
4.432 0.000 0.000
0.000 4.432 0.000
0.000 0.000 4.695
N Nb Ag O
2 2 2 2
direct
0.000 0.500 0.582
0.500 0.000 0.418
0.000 0.000 0.500
0.500 0.500 0.500
0.500 0.000 0.883
0.000 0.500 0.117
0.500 0.500 0.000
0.000 0.000 0.000